{"formula": "ZnIr2Ru", "functional": "SCAN", "state": "PBEsol geometry", "lattice": [[-0.7961, 2.3517, 1.0968], [1.6241, -1.3620, 4.0991], [4.0255, 0.8015, -2.1554]], "species": ["Ir", "Zn", "Ru", "Ir"], "frac_coords": [[0.7507, 0.2612, 0.5013], [0.2507, 0.7558, 0.5015], [0.4943, 0.4909, 0.9886], [0.0043, 0.9920, 0.0086]], "spacegroup": "Cm, No. 8", "formation_enthalpy_0k_ev_per_atom": -0.056, "total_magnetization_mub_per_cell": 0.00, "dos_at_fermi_per_ev_cell": 2.838, "crystal_system": "monoclinic"}

---

{"formula": "ZnIr2Ru", "functional": "SCAN", "state": "PBEsol geometry", "lattice": [[-0.3326, -2.3736, -1.2470], [3.9022, 0.7146, -2.4008], [1.8714, -0.9034, 4.1474]], "species": ["Zn", "Ru", "Ir", "Ir"], "frac_coords": [[0.5000, 0.0000, 0.0000], [0.0000, 0.5000, 0.0000], [0.7457, 0.7482, 0.4913], [0.2543, 0.2518, 0.5087]], "spacegroup": "C2/m, No. 12", "formation_enthalpy_0k_ev_per_atom": -0.044, "total_magnetization_mub_per_cell": 0.00, "dos_at_fermi_per_ev_cell": 3.229, "crystal_system": "monoclinic"}

---

Number 1: volume 13.69 A^3/atom. Number 2: volume 13.72 A^3/atom.